Record 1
KBaRu2O (PBE-GGA, relaxed); VASP energy = -16.9 eV per cell; DOS(E_F) = 3.8 states/eV per cell; space-group type = P4/mmm, No. 123
1.0
-3.804 -1.948 1.365
2.611 -6.372 -1.816
1.718 -0.469 4.118
O Ba Ru K
1 1 2 1
direct
0.500 0.500 0.500
0.000 0.500 0.000
0.000 0.000 0.500
0.500 0.000 0.000
0.000 0.000 0.000



Record 2
K2BaRuO6 (PBE-GGA, relaxed); VASP energy = -56.7 eV per cell; DOS(E_F) = 1.5 states/eV per cell; space-group type = R-3, No. 148
1.0
-1.024 -3.589 4.942
4.566 -3.733 1.889
2.919 1.403 5.279
K O Ru Ba
2 6 1 1
direct
0.760 0.760 0.760
0.240 0.240 0.240
0.805 0.276 0.138
0.195 0.724 0.862
0.138 0.805 0.276
0.862 0.195 0.724
0.276 0.138 0.805
0.724 0.862 0.195
0.000 0.000 0.000
0.500 0.500 0.500



Record 3
K2BaSO (PBE-GGA, relaxed); VASP energy = -20.5 eV per cell; DOS(E_F) = 0.0 states/eV per cell; space-group type = P4/mmm, No. 123
1.0
-4.571 2.113 0.878
-2.223 -4.566 -0.585
0.559 -0.933 5.157
K Ba O S
2 1 1 1
direct
0.000 0.500 0.000
0.500 0.000 0.000
0.000 0.000 0.500
0.000 0.000 0.000
0.500 0.500 0.500



Record 4
K2BaS12O12 (PBE-GGA, relaxed); VASP energy = -291.0 eV per cell; DOS(E_F) = 0.0 states/eV per cell; space-group type = P2/c, No. 13
1.0
9.432 0.000 -0.033
0.000 11.192 0.000
-4.541 0.000 11.075
S O K Ba
24 24 4 2
direct
0.404 0.296 0.748
0.176 0.586 0.658
0.922 0.897 0.748
0.596 0.704 0.252
0.837 0.286 0.676
0.957 0.272 0.871
0.422 0.103 0.748
0.324 0.586 0.342
0.043 0.728 0.129
0.096 0.296 0.252
0.676 0.414 0.658
0.457 0.728 0.871
0.544 0.658 0.397
0.578 0.897 0.252
0.163 0.714 0.324
0.044 0.342 0.397
0.456 0.342 0.603
0.337 0.714 0.676
0.956 0.658 0.603
0.904 0.704 0.748
0.824 0.414 0.342
0.663 0.286 0.324
0.543 0.272 0.129
0.078 0.103 0.252
0.847 0.228 0.920
0.653 0.228 0.080
0.589 0.927 0.136
0.927 0.074 0.253
0.078 0.188 0.877
0.153 0.772 0.080
0.578 0.812 0.877
0.205 0.061 0.360
0.009 0.394 0.912
0.427 0.926 0.253
0.705 0.939 0.360
0.491 0.394 0.088
0.922 0.812 0.123
0.411 0.073 0.864
0.509 0.606 0.912
0.573 0.074 0.747
0.911 0.927 0.864
0.089 0.073 0.136
0.795 0.939 0.640
0.073 0.926 0.747
0.347 0.772 0.920
0.991 0.606 0.088
0.295 0.061 0.640
0.422 0.188 0.123
0.500 0.000 0.500
0.250 0.552 0.000
0.750 0.448 0.000
0.000 0.000 0.500
0.250 0.987 0.000
0.750 0.013 0.000